(1)
# Sr2Ni2Ag GGA-PBEsol optimized geometry
# SG = I4/mmm (139)
# crystal system = tetragonal
# DFT total energy = -18.6 eV for the cell shown
data_Sr2Ni2Ag
_space_group_name_H-M_alt 'P 1'
_space_group_IT_number 1
_space_group_name_Hall 'P 1'
_cell_length_a 9.456
_cell_length_b 9.456
_cell_length_c 9.456
_cell_angle_alpha 158.77
_cell_angle_beta 158.77
_cell_angle_gamma 30.20
loop_
_atom_site_label
_atom_site_type_symbol
_atom_site_fract_x
_atom_site_fract_y
_atom_site_fract_z
_atom_site_occupancy
Sr1 Sr 0.120 0.120 0.000 1
Sr2 Sr 0.880 0.880 0.000 1
Ni1 Ni 0.250 0.750 0.500 1
Ni2 Ni 0.750 0.250 0.500 1
Ag1 Ag 0.500 0.500 0.000 1


(2)
# SrNi2Ag GGA-PBEsol optimized geometry
# SG = Immm (71)
# crystal system = orthorhombic
# DFT total energy = -16.0 eV for the cell shown
data_SrNi2Ag
_space_group_name_H-M_alt 'P 1'
_space_group_IT_number 1
_space_group_name_Hall 'P 1'
_cell_length_a 4.753
_cell_length_b 4.753
_cell_length_c 4.753
_cell_angle_alpha 126.28
_cell_angle_beta 125.87
_cell_angle_gamma 79.77
loop_
_atom_site_label
_atom_site_type_symbol
_atom_site_fract_x
_atom_site_fract_y
_atom_site_fract_z
_atom_site_occupancy
Sr1 Sr 0.000 0.000 0.000 1
Ni1 Ni 0.252 0.752 0.500 1
Ni2 Ni 0.748 0.248 0.500 1
Ag1 Ag 0.500 0.500 0.000 1


(3)
# Ta2NiAg GGA-PBEsol optimized geometry
# SG = P2/m (10)
# crystal system = monoclinic
# DFT total energy = -34.1 eV for the cell shown
data_Ta2NiAg
_space_group_name_H-M_alt 'P 1'
_space_group_IT_number 1
_space_group_name_Hall 'P 1'
_cell_length_a 2.774
_cell_length_b 3.987
_cell_length_c 5.578
_cell_angle_alpha 90.00
_cell_angle_beta 94.24
_cell_angle_gamma 90.00
loop_
_atom_site_label
_atom_site_type_symbol
_atom_site_fract_x
_atom_site_fract_y
_atom_site_fract_z
_atom_site_occupancy
Ta1 Ta 0.029 0.000 0.265 1
Ta2 Ta 0.971 0.000 0.735 1
Ni1 Ni 0.500 0.500 0.500 1
Ag1 Ag 0.500 0.500 0.000 1


(4)
# TaNiAg GGA-PBEsol optimized geometry
# SG = F-43m (216)
# crystal system = cubic
# DFT total energy = -20.6 eV for the cell shown
data_TaNiAg
_space_group_name_H-M_alt 'P 1'
_space_group_IT_number 1
_space_group_name_Hall 'P 1'
_cell_length_a 4.121
_cell_length_b 4.121
_cell_length_c 4.121
_cell_angle_alpha 60.00
_cell_angle_beta 60.00
_cell_angle_gamma 60.00
loop_
_atom_site_label
_atom_site_type_symbol
_atom_site_fract_x
_atom_site_fract_y
_atom_site_fract_z
_atom_site_occupancy
Ta1 Ta 0.000 0.000 0.000 1
Ni1 Ni 0.250 0.250 0.250 1
Ag1 Ag 0.500 0.500 0.500 1


(5)
# TaNiAg2 GGA-PBEsol optimized geometry
# SG = P4/mmm (123)
# crystal system = tetragonal
# DFT total energy = -24.2 eV for the cell shown
data_TaNiAg2
_space_group_name_H-M_alt 'P 1'
_space_group_IT_number 1
_space_group_name_Hall 'P 1'
_cell_length_a 2.755
_cell_length_b 2.755
_cell_length_c 7.963
_cell_angle_alpha 90.00
_cell_angle_beta 90.00
_cell_angle_gamma 90.00
loop_
_atom_site_label
_atom_site_type_symbol
_atom_site_fract_x
_atom_site_fract_y
_atom_site_fract_z
_atom_site_occupancy
Ta1 Ta 0.000 0.000 0.000 1
Ni1 Ni 0.000 0.000 0.500 1
Ag1 Ag 0.500 0.500 0.274 1
Ag2 Ag 0.500 0.500 0.726 1


(6)
# Ta2NiAg GGA-PBEsol optimized geometry
# SG = P4/mmm (123)
# crystal system = tetragonal
# DFT total energy = -34.0 eV for the cell shown
data_Ta2NiAg
_space_group_name_H-M_alt 'P 1'
_space_group_IT_number 1
_space_group_name_Hall 'P 1'
_cell_length_a 3.893
_cell_length_b 3.893
_cell_length_c 4.048
_cell_angle_alpha 90.00
_cell_angle_beta 90.00
_cell_angle_gamma 90.00
loop_
_atom_site_label
_atom_site_type_symbol
_atom_site_fract_x
_atom_site_fract_y
_atom_site_fract_z
_atom_site_occupancy
Ta1 Ta 0.000 0.500 0.000 1
Ta2 Ta 0.500 0.000 0.000 1
Ni1 Ni 0.000 0.000 0.500 1
Ag1 Ag 0.500 0.500 0.500 1


(7)
# TaNiAg2 GGA-PBEsol optimized geometry
# SG = F-43m (216)
# crystal system = cubic
# DFT total energy = -24.3 eV for the cell shown
data_TaNiAg2
_space_group_name_H-M_alt 'P 1'
_space_group_IT_number 1
_space_group_name_Hall 'P 1'
_cell_length_a 4.403
_cell_length_b 4.403
_cell_length_c 4.403
_cell_angle_alpha 60.00
_cell_angle_beta 60.00
_cell_angle_gamma 60.00
loop_
_atom_site_label
_atom_site_type_symbol
_atom_site_fract_x
_atom_site_fract_y
_atom_site_fract_z
_atom_site_occupancy
Ta1 Ta 0.000 0.000 0.000 1
Ni1 Ni 0.750 0.750 0.750 1
Ag1 Ag 0.250 0.250 0.250 1
Ag2 Ag 0.500 0.500 0.500 1


(8)
# TaNiAg GGA-PBEsol optimized geometry
# SG = Imm2 (44)
# crystal system = orthorhombic
# DFT total energy = -21.8 eV for the cell shown
data_TaNiAg
_space_group_name_H-M_alt 'P 1'
_space_group_IT_number 1
_space_group_name_Hall 'P 1'
_cell_length_a 4.799
_cell_length_b 4.799
_cell_length_c 4.799
_cell_angle_alpha 146.14
_cell_angle_beta 134.09
_cell_angle_gamma 58.26
loop_
_atom_site_label
_atom_site_type_symbol
_atom_site_fract_x
_atom_site_fract_y
_atom_site_fract_z
_atom_site_occupancy
Ta1 Ta 0.000 0.000 0.000 1
Ni1 Ni 0.347 0.347 0.000 1
Ag1 Ag 0.682 0.682 0.000 1


(9)
# TcNiAg2 GGA-PBEsol optimized geometry
# SG = C2/m (12)
# crystal system = monoclinic
# DFT total energy = -22.2 eV for the cell shown
data_TcNiAg2
_space_group_name_H-M_alt 'P 1'
_space_group_IT_number 1
_space_group_name_Hall 'P 1'
_cell_length_a 4.843
_cell_length_b 4.843
_cell_length_c 4.719
_cell_angle_alpha 99.09
_cell_angle_beta 99.09
_cell_angle_gamma 31.63
loop_
_atom_site_label
_atom_site_type_symbol
_atom_site_fract_x
_atom_site_fract_y
_atom_site_fract_z
_atom_site_occupancy
Tc1 Tc 0.000 0.000 0.000 1
Ni1 Ni 0.500 0.500 0.500 1
Ag1 Ag 0.246 0.246 0.746 1
Ag2 Ag 0.754 0.754 0.254 1


(10)
# TcNiAg GGA-PBEsol optimized geometry
# SG = P-6m2 (187)
# crystal system = hexagonal
# DFT total energy = -19.4 eV for the cell shown
data_TcNiAg
_space_group_name_H-M_alt 'P 1'
_space_group_IT_number 1
_space_group_name_Hall 'P 1'
_cell_length_a 4.288
_cell_length_b 4.288
_cell_length_c 2.547
_cell_angle_alpha 90.00
_cell_angle_beta 90.00
_cell_angle_gamma 120.00
loop_
_atom_site_label
_atom_site_type_symbol
_atom_site_fract_x
_atom_site_fract_y
_atom_site_fract_z
_atom_site_occupancy
Tc1 Tc 0.000 0.000 0.000 1
Ni1 Ni 0.667 0.333 0.500 1
Ag1 Ag 0.333 0.667 0.500 1


(11)
# ZnTcNi2Ag GGA-PBEsol optimized geometry
# SG = P4/mmm (123)
# crystal system = tetragonal
# DFT total energy = -21.7 eV for the cell shown
data_ZnTcNi2Ag
_space_group_name_H-M_alt 'P 1'
_space_group_IT_number 1
_space_group_name_Hall 'P 1'
_cell_length_a 4.260
_cell_length_b 4.260
_cell_length_c 4.506
_cell_angle_alpha 90.00
_cell_angle_beta 90.00
_cell_angle_gamma 90.00
loop_
_atom_site_label
_atom_site_type_symbol
_atom_site_fract_x
_atom_site_fract_y
_atom_site_fract_z
_atom_site_occupancy
Zn1 Zn 0.000 0.000 0.000 1
Tc1 Tc 0.500 0.500 0.500 1
Ni1 Ni 0.000 0.500 0.000 1
Ni2 Ni 0.500 0.000 0.000 1
Ag1 Ag 0.000 0.000 0.500 1


(12)
# NiAgTe2 GGA-PBEsol optimized geometry
# SG = P2/m (10)
# crystal system = monoclinic
# raw formation energy = 0.040 eV/atom
data_NiAgTe2
_space_group_name_H-M_alt 'P 1'
_space_group_IT_number 1
_space_group_name_Hall 'P 1'
_cell_length_a 4.960
_cell_length_b 3.808
_cell_length_c 5.240
_cell_angle_alpha 90.00
_cell_angle_beta 100.93
_cell_angle_gamma 90.00
loop_
_atom_site_label
_atom_site_type_symbol
_atom_site_fract_x
_atom_site_fract_y
_atom_site_fract_z
_atom_site_occupancy
Ni1 Ni 0.000 0.000 0.000 1
Ag1 Ag 0.000 0.000 0.500 1
Te1 Te 0.275 0.500 0.213 1
Te2 Te 0.725 0.500 0.787 1


Density of states at the Fermi level
In order: 1.093; 0.805; 0.748; 1.712; 0.541; 0.627; 0.826; 0.498; 0.999; 1.081; 0.955; 0.490
Unit: states/eV per atom